Entry 1:
# PBE-GGA In6Hg3Pb, relaxed
# **Energy of formation**: 0.059 eV per atom
data_In6Hg3Pb
_chemical_formula_sum 'In6 Hg3 Pb1'
_space_group_name_H-M_alt 'P -3 m 1'
_space_group_IT_number 164
_space_group_name_Hall '-P 3 2"'
_cell_length_a 4.7913
_cell_length_b 4.7913
_cell_length_c 14.5201
_cell_angle_alpha 90.00
_cell_angle_beta 90.00
_cell_angle_gamma 120.00
loop_
_atom_site_label
_atom_site_type_symbol
_atom_site_fract_x
_atom_site_fract_y
_atom_site_fract_z
In1 In 0.3333 0.6667 0.0888
In2 In 0.3333 0.6667 0.3818
In3 In 0.3333 0.6667 0.8048
Hg1 Hg 0.0000 0.0000 0.0000
Hg2 Hg 0.0000 0.0000 0.2782
Pb1 Pb 0.0000 0.0000 0.5000

Entry 2:
# PBE-GGA V2PtCl, relaxed
# **Raw formation energy**: 0.19 eV per atom
data_V2PtCl
_chemical_formula_sum 'V8 Pt4 Cl4'
_space_group_name_H-M_alt 'I -4 2 d'
_space_group_IT_number 122
_space_group_name_Hall 'I -4 2bw'
_cell_length_a 6.4057
_cell_length_b 6.4057
_cell_length_c 6.2156
_cell_angle_alpha 90.00
_cell_angle_beta 90.00
_cell_angle_gamma 90.00
loop_
_atom_site_label
_atom_site_type_symbol
_atom_site_fract_x
_atom_site_fract_y
_atom_site_fract_z
V1 V 0.2208 0.2500 0.1250
Pt1 Pt 0.0000 0.0000 0.5000
Cl1 Cl 0.0000 0.0000 0.0000

Entry 3:
# PBE-GGA CeBeRh3, relaxed
# **Energy of formation**: -0.630 eV per atom
data_CeBeRh3
_chemical_formula_sum 'Ce1 Be1 Rh3'
_space_group_name_H-M_alt 'P m -3 m'
_space_group_IT_number 221
_space_group_name_Hall '-P 4 2 3'
_cell_length_a 4.2744
_cell_length_b 4.2744
_cell_length_c 4.2744
_cell_angle_alpha 90.00
_cell_angle_beta 90.00
_cell_angle_gamma 90.00
loop_
_atom_site_label
_atom_site_type_symbol
_atom_site_fract_x
_atom_site_fract_y
_atom_site_fract_z
Ce1 Ce 0.0000 0.0000 0.0000
Be1 Be 0.5000 0.5000 0.5000
Rh1 Rh 0.0000 0.5000 0.5000

no.,polymorph energy (0 for the lowest one) (meV per atom),N(E_F) (states/eV/cell)
1,32,4.5
2,14,19.4
3,0,5.1